1.
# Li3CaSi PBE-GGA relaxed
data_Li3CaSi
_chemical_formula_sum 'Li3 Ca1 Si1'
_space_group_name_H-M_alt 'P m -3 m'
_space_group_IT_number 221
_space_group_name_Hall '-P 4 2 3'
_cell_length_a 4.801
_cell_length_b 4.801
_cell_length_c 4.801
_cell_angle_alpha 90.00
_cell_angle_beta 90.00
_cell_angle_gamma 90.00
loop_
_atom_site_label
_atom_site_fract_x
_atom_site_fract_y
_atom_site_fract_z
Li1 0.000 0.000 0.500
Ca1 0.500 0.500 0.500
Si1 0.000 0.000 0.000
# density of states at the Fermi level = 1.68 states/eV per cell
# E_form (uncorrected) = -71.6 meV/atom

2.
# Ta2Ti3Mo3 PBE-GGA relaxed
data_Ta2Ti3Mo3
_chemical_formula_sum 'Ta4 Ti6 Mo6'
_space_group_name_H-M_alt 'I m m m'
_space_group_IT_number 71
_space_group_name_Hall '-I 2 2'
_cell_length_a 3.254
_cell_length_b 4.704
_cell_length_c 17.386
_cell_angle_alpha 90.00
_cell_angle_beta 90.00
_cell_angle_gamma 90.00
loop_
_atom_site_label
_atom_site_fract_x
_atom_site_fract_y
_atom_site_fract_z
Ta1 0.000 0.000 0.243
Ti1 0.000 0.000 0.000
Ti2 0.000 0.500 0.118
Mo1 0.000 0.000 0.500
Mo2 0.000 0.500 0.377
# density of states at the Fermi level = 22.60 states/eV per cell
# ΔE_f = -0.063 eV per atom

3.
# Pm8Dy4Tm3 PBE-GGA relaxed
data_Pm8Dy4Tm3
_chemical_formula_sum 'Pm16 Dy8 Tm6'
_space_group_name_H-M_alt 'C 1 2/m 1'
_space_group_IT_number 12
_cell_length_a 13.663
_cell_length_b 12.133
_cell_length_c 6.858
_cell_angle_alpha 90.00
_cell_angle_beta 117.86
_cell_angle_gamma 90.00
loop_
_space_group_symop_operation_xyz
'x,y,z'
'-x,-y,-z'
'-x,y,-z'
'x,-y,z'
'x+1/2,y+1/2,z'
'-x+1/2,-y+1/2,-z'
'-x+1/2,y+1/2,-z'
'x+1/2,-y+1/2,z'
loop_
_atom_site_label
_atom_site_fract_x
_atom_site_fract_y
_atom_site_fract_z
Pm1 0.000 0.204 0.000
Pm2 0.000 0.253 0.500
Pm3 0.202 0.000 0.171
Pm4 0.244 0.500 0.292
Dy1 0.000 0.500 0.000
Dy2 0.000 0.500 0.500
Dy3 0.250 0.250 0.000
Tm1 0.000 0.000 0.500
Tm2 0.250 0.250 0.500
# density of states at the Fermi level = 45.93 states/eV per cell
# ΔE_f = 0.346 eV per atom

4.
# Cs2PrTe2O6 PBE-GGA relaxed
data_Cs2PrTe2O6
_chemical_formula_sum 'Cs4 Pr2 Te4 O12'
_space_group_name_H-M_alt 'C 1 2/m 1'
_space_group_IT_number 12
_cell_length_a 11.018
_cell_length_b 6.510
_cell_length_c 8.631
_cell_angle_alpha 90.00
_cell_angle_beta 110.88
_cell_angle_gamma 90.00
loop_
_space_group_symop_operation_xyz
'x,y,z'
'-x,-y,-z'
'-x,y,-z'
'x,-y,z'
'x+1/2,y+1/2,z'
'-x+1/2,-y+1/2,-z'
'-x+1/2,y+1/2,-z'
'x+1/2,-y+1/2,z'
loop_
_atom_site_label
_atom_site_fract_x
_atom_site_fract_y
_atom_site_fract_z
Cs1 0.225 0.000 0.199
Pr1 0.000 0.500 0.000
Te1 0.085 0.000 0.725
O1 0.049 0.231 0.840
O2 0.230 0.500 0.154
# density of states at the Fermi level = 4.95 states/eV per cell
# E_form (uncorrected) = -1669.3 meV/atom

5.
# CsPtI2O PBE-GGA relaxed
data_CsPtI2O
_chemical_formula_sum 'Cs1 Pt1 I2 O1'
_space_group_name_H-M_alt 'P 4/m m m'
_space_group_IT_number 123
_space_group_name_Hall '-P 4 2'
_cell_length_a 6.869
_cell_length_b 6.869
_cell_length_c 4.320
_cell_angle_alpha 90.00
_cell_angle_beta 90.00
_cell_angle_gamma 90.00
loop_
_atom_site_label
_atom_site_fract_x
_atom_site_fract_y
_atom_site_fract_z
Cs1 0.000 0.000 0.000
Pt1 0.500 0.500 0.500
I1 0.000 0.500 0.000
O1 0.000 0.000 0.500
# density of states at the Fermi level = 9.78 states/eV per cell
# E_form (uncorrected) = 1006.9 meV/atom

6.
# Nd2S2I PBE-GGA relaxed
data_Nd2S2I
_chemical_formula_sum 'Nd8 S8 I4'
_space_group_name_H-M_alt 'C 1 2/c 1'
_space_group_IT_number 15
_cell_length_a 10.134
_cell_length_b 10.875
_cell_length_c 7.609
_cell_angle_alpha 90.00
_cell_angle_beta 131.59
_cell_angle_gamma 90.00
loop_
_space_group_symop_operation_xyz
'x,y,z'
'-x,-y,-z'
'-x,y,-z+1/2'
'x,-y,z+1/2'
'x+1/2,y+1/2,z'
'-x+1/2,-y+1/2,-z'
'-x+1/2,y+1/2,-z+1/2'
'x+1/2,-y+1/2,z+1/2'
loop_
_atom_site_label
_atom_site_fract_x
_atom_site_fract_y
_atom_site_fract_z
Nd1 0.000 0.062 0.250
Nd2 0.000 0.311 0.750
S1 0.166 0.125 0.082
I1 0.000 0.375 0.250
# density of states at the Fermi level = 12.36 states/eV per cell
# E_form (uncorrected) = -1661.3 meV/atom

7.
# Cd2Br2Cl PBE-GGA relaxed
data_Cd2Br2Cl
_chemical_formula_sum 'Cd4 Br4 Cl2'
_space_group_name_H-M_alt 'P 4/m b m'
_space_group_IT_number 127
_space_group_name_Hall '-P 4 2ab'
_cell_length_a 8.393
_cell_length_b 8.393
_cell_length_c 3.674
_cell_angle_alpha 90.00
_cell_angle_beta 90.00
_cell_angle_gamma 90.00
loop_
_atom_site_label
_atom_site_fract_x
_atom_site_fract_y
_atom_site_fract_z
Cd1 0.176 0.324 0.000
Br1 0.137 0.637 0.500
Cl1 0.000 0.000 0.500
# density of states at the Fermi level = 3.78 states/eV per cell
# E_form (uncorrected) = -277.8 meV/atom

8.
# Si2AgTe PBE-GGA relaxed
data_Si2AgTe
_chemical_formula_sum 'Si2 Ag1 Te1'
_space_group_name_H-M_alt 'P 4/m m m'
_space_group_IT_number 123
_space_group_name_Hall '-P 4 2'
_cell_length_a 3.647
_cell_length_b 3.647
_cell_length_c 6.097
_cell_angle_alpha 90.00
_cell_angle_beta 90.00
_cell_angle_gamma 90.00
loop_
_atom_site_label
_atom_site_fract_x
_atom_site_fract_y
_atom_site_fract_z
Si1 0.000 0.000 0.200
Ag1 0.500 0.500 0.000
Te1 0.500 0.500 0.500
# density of states at the Fermi level = 2.67 states/eV per cell
# E_form (uncorrected) = 528.1 meV/atom

9.
# LiPrErBe PBE-GGA relaxed
data_LiPrErBe
_chemical_formula_sum 'Li4 Pr4 Er4 Be4'
_space_group_name_H-M_alt 'F -4 3 m'
_space_group_IT_number 216
_space_group_name_Hall 'F -4 2 3'
_cell_length_a 7.168
_cell_length_b 7.168
_cell_length_c 7.168
_cell_angle_alpha 90.00
_cell_angle_beta 90.00
_cell_angle_gamma 90.00
loop_
_atom_site_label
_atom_site_fract_x
_atom_site_fract_y
_atom_site_fract_z
Li1 0.000 0.000 0.000
Pr1 0.250 0.250 0.250
Er1 0.250 0.250 0.750
Be1 0.000 0.000 0.500
# density of states at the Fermi level = 19.42 states/eV per cell
# ΔE_f = 0.159 eV per atom

10.
# Zr3CdBi PBE-GGA relaxed
data_Zr3CdBi
_chemical_formula_sum 'Zr24 Cd8 Bi8'
_space_group_name_H-M_alt 'C 1 2/c 1'
_space_group_IT_number 15
_cell_length_a 13.810
_cell_length_b 9.218
_cell_length_c 9.840
_cell_angle_alpha 90.00
_cell_angle_beta 131.25
_cell_angle_gamma 90.00
loop_
_space_group_symop_operation_xyz
'x,y,z'
'-x,-y,-z'
'-x,y,-z+1/2'
'x,-y,z+1/2'
'x+1/2,y+1/2,z'
'-x+1/2,-y+1/2,-z'
'-x+1/2,y+1/2,-z+1/2'
'x+1/2,-y+1/2,z+1/2'
loop_
_atom_site_label
_atom_site_fract_x
_atom_site_fract_y
_atom_site_fract_z
Zr1 0.094 0.113 0.143
Zr2 0.107 0.359 0.659
Zr3 0.213 0.120 0.553
Cd1 0.000 0.111 0.750
Cd2 0.000 0.351 0.250
Bi1 0.190 0.386 0.057
# density of states at the Fermi level = 34.77 states/eV per cell
# ΔE_f = -0.133 eV per atom

11.
# YTmPu2 PBE-GGA relaxed
data_YTmPu2
_chemical_formula_sum 'Y3 Tm3 Pu6'
_space_group_name_H-M_alt 'R -3 m'
_space_group_IT_number 166
_space_group_name_Hall '-R 3 2"'
_cell_length_a 3.4280
_cell_length_b 3.4280
_cell_length_c 34.1595
_cell_angle_alpha 90.00
_cell_angle_beta 90.00
_cell_angle_gamma 120.00
loop_
_atom_site_label
_atom_site_fract_x
_atom_site_fract_y
_atom_site_fract_z
Y1 0.0000 0.0000 0.0000
Tm1 0.0000 0.0000 0.5000
Pu1 0.0000 0.0000 0.2491
# density of states at the Fermi level = 50.31 states/eV per cell
# ΔE_f = 0.179 eV per atom

12.
# K4CaRh PBE-GGA relaxed
data_K4CaRh
_chemical_formula_sum 'K16 Ca4 Rh4'
_space_group_name_H-M_alt 'F -4 3 m'
_space_group_IT_number 216
_space_group_name_Hall 'F -4 2 3'
_cell_length_a 10.013
_cell_length_b 10.013
_cell_length_c 10.013
_cell_angle_alpha 90.00
_cell_angle_beta 90.00
_cell_angle_gamma 90.00
loop_
_atom_site_label
_atom_site_fract_x
_atom_site_fract_y
_atom_site_fract_z
K1 0.123 0.123 0.123
Ca1 0.000 0.000 0.500
Rh1 0.250 0.250 0.750
# density of states at the Fermi level = 14.61 states/eV per cell
# ΔE_f = 0.716 eV per atom

> Among the records above, which one has the highest density of states at the Fermi level?

YTmPu2